No. 1
Material: Hf2Ga2Ru
Method: DFT, GGA-PBEsol
State: optimized geometry

Structure (POSCAR):
```
Hf2Ga2Ru
1.0
-2.8261 -1.9651 -1.5081
3.0929 0.0617 -5.8762
3.0975 -5.6602 1.5709
Ru Hf Ga
2 4 4
direct
0.0000 0.0000 0.0000
0.0000 0.5000 0.5000
0.5000 0.1734 0.6734
0.5000 0.6734 0.8266
0.5000 0.8266 0.3266
0.5000 0.3266 0.1734
0.0000 0.3690 0.8690
0.0000 0.8690 0.6310
0.0000 0.6310 0.1310
0.0000 0.1310 0.3690
```

Values from the calculation:
Volume (Å³ per cell): 166
Total moment (μB/f.u.): 0.000
Fermi-level density of states (states/eV per atom): 0.49
Energy of formation (eV/f.u.): -2.9

=====

No. 2
Material: BaSrI4
Method: DFT, GGA-PBEsol
State: optimized geometry

Structure (POSCAR):
```
BaSrI4
1.0
6.1847 0.0000 0.0000
0.0000 7.9343 0.0000
-3.0924 0.0000 11.5686
Ba Sr I
2 2 8
direct
0.8163 0.0871 0.6327
0.1837 0.5871 0.3673
0.5862 0.0072 0.1724
0.4138 0.5072 0.8276
0.8844 0.4834 0.7688
0.5468 0.6156 0.0936
0.6829 0.3092 0.3657
0.7091 0.7878 0.4182
0.1156 0.9834 0.2312
0.2909 0.2878 0.5818
0.4532 0.1156 0.9064
0.3171 0.8092 0.6343
```

Values from the calculation:
Volume (Å³ per cell): 568
Formation energy from raw total energies (eV per atom): -1.65
Total moment (μB/f.u.): 0.000
Fermi-level density of states (states/eV per atom): 0.00

=====

No. 3
Material: CaYRu2C
Method: DFT, GGA-PBEsol
State: optimized geometry

Structure (POSCAR):
```
CaYRu2C
1.0
4.3727 0.0000 0.0000
0.0000 4.3727 0.0000
0.0000 0.0000 5.3781
Y Ru Ca C
1 2 1 1
direct
0.0000 0.0000 0.5000
0.0000 0.5000 0.0000
0.5000 0.0000 0.0000
0.0000 0.0000 0.0000
0.5000 0.5000 0.5000
```

Values from the calculation:
Volume (Å³ per cell): 103
Total moment (μB/f.u.): 0.001
Fermi-level density of states (states/eV per atom): 0.89
Energy of formation (eV/f.u.): 14.3

=====

No. 4
Material: Re2SiTe
Method: DFT, GGA-PBEsol
State: optimized geometry

Structure (POSCAR):
```
Re2SiTe
1.0
-0.0007 -2.8396 0.5780
-0.1010 -0.7937 -3.8997
5.5158 -0.0292 -0.1369
Re Si Te
2 1 1
direct
0.0000 0.0000 0.9923
0.5000 0.5000 0.2911
0.0000 0.0000 0.4325
0.5000 0.5000 0.7841
```

Values from the calculation:
Volume (Å³ per cell): 64
Formation energy from raw total energies (eV per atom): 0.38
Total moment (μB/f.u.): 0.000
Fermi-level density of states (states/eV per atom): 0.54

=====

No. 5
Material: LaScPb2
Method: DFT, GGA-PBEsol
State: optimized geometry

Structure (POSCAR):
```
LaScPb2
1.0
3.5795 0.0000 0.0000
1.7898 3.0999 0.0000
1.7898 1.0333 9.9610
La Pb Sc
1 2 1
direct
0.0000 0.0000 0.0000
0.2429 0.2429 0.2713
0.7571 0.7571 0.7287
0.5000 0.5000 0.5000
```

Values from the calculation:
Volume (Å³ per cell): 111
Total moment (μB/f.u.): 0.000
Fermi-level density of states (states/eV per atom): 0.69
Energy of formation (eV/f.u.): -1.5

=====

No. 6
Material: LaReBr2
Method: DFT, GGA-PBEsol
State: optimized geometry

Structure (POSCAR):
```
LaReBr2
1.0
3.2986 0.0000 0.0000
0.0000 3.2986 0.0000
0.0000 0.0000 8.6778
Re Br La
1 2 1
direct
0.5000 0.5000 0.7736
0.0000 0.0000 0.9214
0.5000 0.5000 0.2859
0.0000 0.0000 0.5191
```

Values from the calculation:
Volume (Å³ per cell): 94
Formation energy from raw total energies (eV per atom): -0.10
Total moment (μB/f.u.): 0.000
Fermi-level density of states (states/eV per atom): 0.29

=====

No. 7
Material: YCr2Cl
Method: DFT, GGA-PBEsol
State: optimized geometry

Structure (POSCAR):
```
YCr2Cl
1.0
3.5333 0.0000 0.0000
0.0000 3.5333 0.0000
-1.7666 -1.7666 5.1797
Y Cr Cl
1 2 1
direct
0.5000 0.5000 0.0000
0.7500 0.2500 0.5000
0.2500 0.7500 0.5000
0.0000 0.0000 0.0000
```

Values from the calculation:
Volume (Å³ per cell): 65
Formation energy from raw total energies (eV per atom): 0.42
Total moment (μB/f.u.): 0.003
Fermi-level density of states (states/eV per atom): 0.98

=====

No. 8
Material: ScZnBr
Method: DFT, GGA-PBEsol
State: optimized geometry

Structure (POSCAR):
```
ScZnBr
1.0
4.6602 0.0000 0.0000
2.3301 4.0359 0.0000
2.3301 1.3453 3.8051
Br Sc Zn
1 1 1
direct
0.0000 0.0000 0.0000
0.5000 0.5000 0.5000
0.2500 0.2500 0.2500
```

Values from the calculation:
Volume (Å³ per cell): 72
Formation energy from raw total energies (eV per atom): 0.17
Total moment (μB/f.u.): 0.001
Fermi-level density of states (states/eV per atom): 0.89

=====

Which of these has the lowest Fermi-level density of states? BaSrI4